La12Ho5Pu | PBE-GGA | optimized geometry

Summary:
Size of the total moment ... 12.1 Bohr magnetons per cell
Formation energy from the elements ... 4 kJ/mol of atoms
DOS at the Fermi energy ... 1.7405 states/eV/atom

Cell: 19.060 10.876 6.356 Å, 90.00 109.40 90.00°
Space group C2/m (No. 12)
Symmetry-distinct sites (fractional):
1 La 0.000 0.166 0.000 x4
2 La 0.000 0.325 0.500 x4
3 La 0.164 0.167 0.830 x8
4 La 0.167 0.331 0.332 x8
5 Ho 0.000 0.500 0.000 x2
6 Ho 0.165 0.000 0.336 x4
7 Ho 0.167 0.500 0.830 x4
8 Pu 0.000 0.000 0.500 x2